Record 1
First-principles (PBE) data for a relaxed structure of SmErAg2S4, as listed in the Alexandria database.

Cell: 6.543 4.058 7.017 Å, 90.00 110.35 90.00°
Space group P2/m (No. 10)
Symmetry-distinct sites (fractional):
Sm 0.000 0.000 0.000 [1 per cell]
Er 0.000 0.500 0.500 [1 per cell]
Ag 0.500 0.000 0.500 [1 per cell]
Ag 0.500 0.500 0.000 [1 per cell]
S 0.241 0.000 0.738 [2 per cell]
S 0.243 0.500 0.252 [2 per cell]

Calculated volume: 175 Å³/cell
Energy relative to the elements, uncorrected: -122 kJ per mole of atoms

---

Record 2
First-principles (PBE) data for a relaxed structure of Er2Ag3SnS6, as listed in the Alexandria database.

Cell: 18.115 3.906 7.490 Å, 90.00 101.46 90.00°
Space group C2/m (No. 12)
Symmetry-distinct sites (fractional):
Er 0.167 0.000 0.336 [4 per cell]
Ag 0.000 0.500 0.500 [2 per cell]
Ag 0.191 0.000 0.847 [4 per cell]
Sn 0.000 0.500 0.000 [2 per cell]
S 0.011 0.000 0.265 [4 per cell]
S 0.156 0.500 0.077 [4 per cell]
S 0.178 0.500 0.590 [4 per cell]

Calculated volume: 519 Å³/cell
Energy relative to the elements, uncorrected: -90 kJ per mole of atoms

---

Record 3
First-principles (PBE) data for a relaxed structure of ErAg3Sn3S8, as listed in the Alexandria database.

Cell: 7.7421 7.7421 18.8377 Å, 90.00 90.00 120.00°
Space group R-3m (No. 166, hexagonal axes)
Symmetry-distinct sites (fractional):
Er 0.0000 0.0000 0.0000 [3 per cell]
Ag 0.0000 0.5000 0.5000 [9 per cell]
Sn 0.0000 0.5000 0.0000 [9 per cell]
S 0.0000 0.0000 0.2500 [6 per cell]
S 0.0032 0.5016 0.2526 [18 per cell]

Calculated volume: 978 Å³/cell
Energy relative to the elements, uncorrected: -52 kJ per mole of atoms

---

Record 4
First-principles (PBE) data for a relaxed structure of Er3Ag4SnS8, as listed in the Alexandria database.

Cell: 13.222 7.952 7.703 Å, 90.00 123.08 90.00°
Space group C2/m (No. 12)
Symmetry-distinct sites (fractional):
Er 0.000 0.000 0.000 [2 per cell]
Er 0.250 0.250 0.500 [4 per cell]
Ag 0.000 0.000 0.500 [2 per cell]
Ag 0.000 0.500 0.500 [2 per cell]
Ag 0.250 0.250 0.000 [4 per cell]
Sn 0.000 0.500 0.000 [2 per cell]
S 0.003 0.249 0.248 [8 per cell]
S 0.245 0.000 0.254 [4 per cell]
S 0.247 0.500 0.253 [4 per cell]

Calculated volume: 679 Å³/cell
Energy relative to the elements, uncorrected: -98 kJ per mole of atoms

---

Record 5
First-principles (PBE) data for a relaxed structure of Sr2ErAgS4, as listed in the Alexandria database.

Cell: 7.047 4.112 7.160 Å, 90.00 110.04 90.00°
Space group P2/m (No. 10)
Symmetry-distinct sites (fractional):
Sr 0.000 0.000 0.000 [1 per cell]
Sr 0.000 0.500 0.500 [1 per cell]
Er 0.500 0.000 0.500 [1 per cell]
Ag 0.500 0.500 0.000 [1 per cell]
S 0.269 0.500 0.270 [2 per cell]
S 0.273 0.000 0.746 [2 per cell]

Calculated volume: 195 Å³/cell
Energy relative to the elements, uncorrected: -161 kJ per mole of atoms

---

Record 6
First-principles (PBE) data for a relaxed structure of Sr3Er3AgS8, as listed in the Alexandria database.

Cell: 8.0151 8.0151 20.2527 Å, 90.00 90.00 120.00°
Space group R-3m (No. 166, hexagonal axes)
Symmetry-distinct sites (fractional):
Sr 0.0000 0.5000 0.0000 [9 per cell]
Er 0.0000 0.5000 0.5000 [9 per cell]
Ag 0.0000 0.0000 0.5000 [3 per cell]
S 0.0000 0.0000 0.2423 [6 per cell]
S 0.0143 0.5072 0.7581 [18 per cell]

Calculated volume: 1127 Å³/cell
Energy relative to the elements, uncorrected: -175 kJ per mole of atoms

---

Record 7
First-principles (PBE) data for a relaxed structure of SrEr2AgS4, as listed in the Alexandria database.

Cell: 3.982 13.250 13.754 Å, 90.00 90.00 90.00°
Space group Cmcm (No. 63)
Symmetry-distinct sites (fractional):
Sr 0.000 0.129 0.250 [4 per cell]
Er 0.000 0.376 0.059 [8 per cell]
Ag 0.000 0.147 0.750 [4 per cell]
S 0.000 0.000 0.000 [4 per cell]
S 0.000 0.270 0.610 [8 per cell]
S 0.000 0.464 0.250 [4 per cell]

Calculated volume: 726 Å³/cell
Energy relative to the elements, uncorrected: -159 kJ per mole of atoms

---

Record 8
First-principles (PBE) data for a relaxed structure of TbEr4AgS8, as listed in the Alexandria database.

Cell: 7.9651 7.9651 19.6281 Å, 90.00 90.00 120.00°
Space group R3m (No. 160, hexagonal axes)
Symmetry-distinct sites (fractional):
Tb 0.0000 0.0000 0.0000 [3 per cell]
Er 0.0000 0.0000 0.6212 [3 per cell]
Er 0.1725 0.3449 0.8277 [9 per cell]
Ag 0.0000 0.0000 0.3699 [3 per cell]
S 0.0000 0.0000 0.2375 [3 per cell]
S 0.0000 0.0000 0.7543 [3 per cell]
S 0.0196 0.5098 0.7495 [9 per cell]
S 0.1768 0.3535 0.5753 [9 per cell]

Calculated volume: 1078 Å³/cell
Energy relative to the elements, uncorrected: -177 kJ per mole of atoms

---

Record 9
First-principles (PBE) data for a relaxed structure of TbErAg2S4, as listed in the Alexandria database.

Cell: 6.554 4.020 6.947 Å, 90.00 109.79 90.00°
Space group P2/m (No. 10)
Symmetry-distinct sites (fractional):
Tb 0.000 0.000 0.000 [1 per cell]
Er 0.000 0.500 0.500 [1 per cell]
Ag 0.500 0.000 0.500 [1 per cell]
Ag 0.500 0.500 0.000 [1 per cell]
S 0.239 0.000 0.740 [2 per cell]
S 0.240 0.500 0.246 [2 per cell]

Calculated volume: 172 Å³/cell
Energy relative to the elements, uncorrected: -124 kJ per mole of atoms

---

Record 10
First-principles (PBE) data for a relaxed structure of ErAg2TeS4, as listed in the Alexandria database.

Cell: 11.906 10.393 7.878 Å, 90.00 131.25 90.00°
Space group C2/c (No. 15)
Symmetry-distinct sites (fractional):
Er 0.000 0.000 0.000 [4 per cell]
Ag 0.000 0.500 0.000 [4 per cell]
Ag 0.250 0.250 0.000 [4 per cell]
Te 0.250 0.250 0.500 [4 per cell]
S 0.054 0.264 0.557 [8 per cell]
S 0.209 0.003 0.959 [8 per cell]

Calculated volume: 733 Å³/cell
Energy relative to the elements, uncorrected: -55 kJ per mole of atoms

---

Record 11
First-principles (PBE) data for a relaxed structure of Er2AgTeS3, as listed in the Alexandria database.

Cell: 8.0803 8.0803 19.6930 Å, 90.00 90.00 120.00°
Space group R-3m (No. 166, hexagonal axes)
Symmetry-distinct sites (fractional):
Er 0.0000 0.0000 0.0000 [3 per cell]
Er 0.0000 0.5000 0.5000 [9 per cell]
Ag 0.0000 0.0000 0.4073 [6 per cell]
Te 0.0000 0.0000 0.2649 [6 per cell]
S 0.0315 0.5158 0.7560 [18 per cell]

Calculated volume: 1114 Å³/cell
Energy relative to the elements, uncorrected: -124 kJ per mole of atoms

---

Record 12
First-principles (PBE) data for a relaxed structure of ErTiAgS4, as listed in the Alexandria database.

Cell: 7.339 7.827 10.772 Å, 90.00 90.00 90.00°
Space group Imma (No. 74)
Symmetry-distinct sites (fractional):
Er 0.000 0.000 0.000 [4 per cell]
Ti 0.250 0.250 0.250 [4 per cell]
Ag 0.000 0.250 0.635 [4 per cell]
S 0.000 0.035 0.251 [8 per cell]
S 0.247 0.250 0.024 [8 per cell]

Calculated volume: 619 Å³/cell
Energy relative to the elements, uncorrected: -124 kJ per mole of atoms

---

Record 13
First-principles (PBE) data for a relaxed structure of Er2TlAgS4, as listed in the Alexandria database.

Cell: 4.003 13.414 14.309 Å, 90.00 90.00 90.00°
Space group Cmcm (No. 63)
Symmetry-distinct sites (fractional):
Er 0.000 0.131 0.066 [8 per cell]
Tl 0.000 0.385 0.250 [4 per cell]
Ag 0.000 0.327 0.750 [4 per cell]
S 0.000 0.059 0.250 [4 per cell]
S 0.000 0.237 0.597 [8 per cell]
S 0.000 0.500 0.000 [4 per cell]

Calculated volume: 768 Å³/cell
Energy relative to the elements, uncorrected: -132 kJ per mole of atoms

---

Record 14
First-principles (PBE) data for a relaxed structure of ErTmAg2S4, as listed in the Alexandria database.

Cell: 6.997 4.018 7.772 Å, 90.00 104.59 90.00°
Space group P2/m (No. 10)
Symmetry-distinct sites (fractional):
Er 0.000 0.000 0.000 [1 per cell]
Tm 0.500 0.500 0.000 [1 per cell]
Ag 0.000 0.500 0.500 [1 per cell]
Ag 0.500 0.000 0.500 [1 per cell]
S 0.117 0.500 0.813 [2 per cell]
S 0.386 0.000 0.186 [2 per cell]

Calculated volume: 211 Å³/cell
Energy relative to the elements, uncorrected: -127 kJ per mole of atoms

---

Record 15
First-principles (PBE) data for a relaxed structure of ErTm4AgS8, as listed in the Alexandria database.

Cell: 7.9271 7.9271 19.4586 Å, 90.00 90.00 120.00°
Space group R3m (No. 160, hexagonal axes)
Symmetry-distinct sites (fractional):
Er 0.0000 0.0000 0.0000 [3 per cell]
Tm 0.0000 0.0000 0.6207 [3 per cell]
Tm 0.1725 0.3451 0.8274 [9 per cell]
Ag 0.0000 0.0000 0.3702 [3 per cell]
S 0.0000 0.0000 0.2373 [3 per cell]
S 0.0000 0.0000 0.7541 [3 per cell]
S 0.0211 0.5106 0.7487 [9 per cell]
S 0.1775 0.3551 0.5757 [9 per cell]

Calculated volume: 1059 Å³/cell
Energy relative to the elements, uncorrected: -177 kJ per mole of atoms

---

Record 16
First-principles (PBE) data for a relaxed structure of Er3VAg3S8, as listed in the Alexandria database.

Cell: 13.340 7.702 7.801 Å, 90.00 125.07 90.00°
Space group C2/m (No. 12)
Symmetry-distinct sites (fractional):
Er 0.000 0.000 0.000 [2 per cell]
Er 0.250 0.250 0.000 [4 per cell]
V 0.000 0.500 0.000 [2 per cell]
Ag 0.000 0.500 0.500 [2 per cell]
Ag 0.250 0.250 0.500 [4 per cell]
S 0.002 0.273 0.781 [8 per cell]
S 0.225 0.500 0.219 [4 per cell]
S 0.247 0.000 0.240 [4 per cell]

Calculated volume: 656 Å³/cell
Energy relative to the elements, uncorrected: -109 kJ per mole of atoms

---

Record 17
First-principles (PBE) data for a relaxed structure of Y2ErAg3S6, as listed in the Alexandria database.

Cell: 15.313 4.072 11.951 Å, 90.00 119.05 90.00°
Space group C2/m (No. 12)
Symmetry-distinct sites (fractional):
Y 0.166 0.000 0.332 [4 per cell]
Er 0.000 0.500 0.000 [2 per cell]
Ag 0.000 0.500 0.500 [2 per cell]
Ag 0.168 0.000 0.836 [4 per cell]
S 0.027 0.000 0.867 [4 per cell]
S 0.141 0.500 0.469 [4 per cell]
S 0.191 0.500 0.196 [4 per cell]

Calculated volume: 651 Å³/cell
Energy relative to the elements, uncorrected: -127 kJ per mole of atoms

---

Record 18
First-principles (PBE) data for a relaxed structure of YErAg2S4, as listed in the Alexandria database.

Cell: 6.676 3.998 6.951 Å, 90.00 112.00 90.00°
Space group P2/m (No. 10)
Symmetry-distinct sites (fractional):
Y 0.000 0.000 0.000 [1 per cell]
Er 0.000 0.500 0.500 [1 per cell]
Ag 0.500 0.000 0.500 [1 per cell]
Ag 0.500 0.500 0.000 [1 per cell]
S 0.238 0.000 0.750 [2 per cell]
S 0.239 0.500 0.255 [2 per cell]

Calculated volume: 172 Å³/cell
Energy relative to the elements, uncorrected: -124 kJ per mole of atoms

---

Record 19
First-principles (PBE) data for a relaxed structure of Er3ZrAg3S8, as listed in the Alexandria database.

Cell: 13.376 7.851 7.783 Å, 90.00 124.58 90.00°
Space group C2/m (No. 12)
Symmetry-distinct sites (fractional):
Er 0.000 0.000 0.000 [2 per cell]
Er 0.250 0.250 0.500 [4 per cell]
Zr 0.000 0.500 0.000 [2 per cell]
Ag 0.000 0.500 0.500 [2 per cell]
Ag 0.250 0.250 0.000 [4 per cell]
S 0.004 0.260 0.235 [8 per cell]
S 0.237 0.500 0.246 [4 per cell]
S 0.247 0.000 0.255 [4 per cell]

Calculated volume: 673 Å³/cell
Energy relative to the elements, uncorrected: -127 kJ per mole of atoms

---

Record 20
First-principles (PBE) data for a relaxed structure of ErZrAgS4, as listed in the Alexandria database.

Cell: 7.637 7.889 11.016 Å, 90.00 90.00 90.00°
Space group Imma (No. 74)
Symmetry-distinct sites (fractional):
Er 0.000 0.000 0.000 [4 per cell]
Zr 0.250 0.250 0.250 [4 per cell]
Ag 0.000 0.250 0.627 [4 per cell]
S 0.000 0.024 0.247 [8 per cell]
S 0.240 0.250 0.017 [8 per cell]

Calculated volume: 664 Å³/cell
Energy relative to the elements, uncorrected: -138 kJ per mole of atoms